1.
# GGA-PBE CrFeCo2, optimized geometry
# formation energy	0.40	eV per formula unit
data_CrFeCo2
_chemical_formula_sum 'Cr3 Fe3 Co6'
_cell_length_a 2.4929
_cell_length_b 2.4929
_cell_length_c 24.6213
_cell_angle_alpha 90.00
_cell_angle_beta 90.00
_cell_angle_gamma 120.00
_symmetry_space_group_name_H-M 'R -3 m'
_symmetry_Int_Tables_number 166
_symmetry_space_group_name_Hall '-R 3 2"'
loop_
_atom_site_label
_atom_site_fract_x
_atom_site_fract_y
_atom_site_fract_z
Cr1 0.0000 0.0000 0.0000
Fe1 0.0000 0.0000 0.5000
Co1 0.0000 0.0000 0.2507

=====

2.
# GGA-PBE Ba2ScCo, optimized geometry
# polymorph energy (0 for the lowest one)	388.5	meV per atom
# formation energy	2.33	eV per formula unit
data_Ba2ScCo
_chemical_formula_sum 'Ba2 Sc1 Co1'
_cell_length_a 3.771
_cell_length_b 3.771
_cell_length_c 9.461
_cell_angle_alpha 90.00
_cell_angle_beta 90.00
_cell_angle_gamma 90.00
_symmetry_space_group_name_H-M 'P 4/m m m'
_symmetry_Int_Tables_number 123
_symmetry_space_group_name_Hall '-P 4 2'
loop_
_atom_site_label
_atom_site_fract_x
_atom_site_fract_y
_atom_site_fract_z
Ba1 0.000 0.000 0.196
Sc1 0.500 0.500 0.500
Co1 0.500 0.500 0.000

=====

3.
# GGA-PBE La4Dy3PuSe8, optimized geometry
# uncorrected formation energy	-1.856	eV per atom
data_La4Dy3PuSe8
_chemical_formula_sum 'La12 Dy9 Pu3 Se24'
_cell_length_a 8.3765
_cell_length_b 8.3765
_cell_length_c 20.7383
_cell_angle_alpha 90.00
_cell_angle_beta 90.00
_cell_angle_gamma 120.00
_symmetry_space_group_name_H-M 'R -3 m'
_symmetry_Int_Tables_number 166
_symmetry_space_group_name_Hall '-R 3 2"'
loop_
_atom_site_label
_atom_site_fract_x
_atom_site_fract_y
_atom_site_fract_z
La1 0.0000 0.0000 0.0000
La2 0.0000 0.5000 0.0000
Dy1 0.0000 0.5000 0.5000
Pu1 0.0000 0.0000 0.5000
Se1 0.0000 0.0000 0.2437
Se2 0.0028 0.5014 0.7556

=====

4.
# GGA-PBE PrGe4Bi, optimized geometry
# formation energy	-0.99	eV per formula unit
data_PrGe4Bi
_chemical_formula_sum 'Pr4 Ge16 Bi4'
_cell_length_a 8.158
_cell_length_b 8.158
_cell_length_c 8.158
_cell_angle_alpha 90.00
_cell_angle_beta 90.00
_cell_angle_gamma 90.00
_symmetry_space_group_name_H-M 'F -4 3 m'
_symmetry_Int_Tables_number 216
_symmetry_space_group_name_Hall 'F -4 2 3'
loop_
_atom_site_label
_atom_site_fract_x
_atom_site_fract_y
_atom_site_fract_z
Pr1 0.000 0.000 0.000
Ge1 0.125 0.125 0.375
Bi1 0.250 0.250 0.750

=====

Total DFT energy (no corrections) for the records above, in order: -7.98, -3.74, -6.59, -4.69 eV/atom